Model A:
VASP calculation (PBE-GGA) on a geometry-optimized VMoW6 structure.

CIF file:
```
data_VMoW6
_chemical_formula_sum 'V3 Mo3 W18'
_cell_length_a 7.1361
_cell_length_b 7.1361
_cell_length_c 8.7306
_cell_angle_alpha 90.00
_cell_angle_beta 90.00
_cell_angle_gamma 120.00
_symmetry_space_group_name_H-M 'R -3'
_symmetry_Int_Tables_number 148
_symmetry_space_group_name_Hall '-R 3'
loop_
_atom_site_label
_atom_site_fract_x
_atom_site_fract_y
_atom_site_fract_z
V1 0.0000 0.0000 0.0000
Mo1 0.0000 0.0000 0.5000
W1 0.0012 0.7507 0.7507
```

Results
Magnetic moment   0.00 Bohr magnetons per cell
DOS at the Fermi energy   13.70 states/eV per cell
ρ   16.17 g/cm³

Model B:
VASP calculation (PBE-GGA) on a geometry-optimized VMoW6 structure.

CIF file:
```
data_VMoW6
_chemical_formula_sum 'V2 Mo2 W12'
_cell_length_a 6.3383
_cell_length_b 8.9265
_cell_length_c 4.4729
_cell_angle_alpha 90.00
_cell_angle_beta 90.00
_cell_angle_gamma 90.00
_symmetry_space_group_name_H-M 'C m m m'
_symmetry_Int_Tables_number 65
_symmetry_space_group_name_Hall '-C 2 2'
loop_
_atom_site_label
_atom_site_fract_x
_atom_site_fract_y
_atom_site_fract_z
V1 0.0000 0.0000 0.0000
Mo1 0.0000 0.5000 0.0000
W1 0.0000 0.2485 0.5000
W2 0.2473 0.0000 0.5000
W3 0.2500 0.2500 0.0000
```

Results
Magnetic moment   0.00 Bohr magnetons per cell
DOS at the Fermi energy   5.29 states/eV per cell
ρ   16.40 g/cm³

Pick model B: it beats the second-best structure by 12.6 kJ/mol of atoms.

Model A:
VASP calculation (PBE-GGA) on a geometry-optimized V7MoW3 structure.

CIF file:
```
data_V7MoW3
_chemical_formula_sum 'V28 Mo4 W12'
_cell_length_a 2.5922
_cell_length_b 18.7227
_cell_length_c 13.7811
_cell_angle_alpha 90.00
_cell_angle_beta 90.00
_cell_angle_gamma 90.00
_symmetry_space_group_name_H-M 'C m c m'
_symmetry_Int_Tables_number 63
_symmetry_space_group_name_Hall '-C 2c 2'
loop_
_atom_site_label
_atom_site_fract_x
_atom_site_fract_y
_atom_site_fract_z
V1 0.0000 0.0015 0.0841
V2 0.0000 0.1189 0.1491
V3 0.0000 0.1381 0.7500
V4 0.0000 0.2448 0.0823
Mo1 0.0000 0.4926 0.2500
W1 0.0000 0.2730 0.7500
W2 0.0000 0.3772 0.0384
```

Results
Magnetic moment   0.00 Bohr magnetons per cell
DOS at the Fermi energy   55.12 states/eV per cell
ρ   9.97 g/cm³

Model B:
VASP calculation (PBE-GGA) on a geometry-optimized V7MoW3 structure.

CIF file:
```
data_V7MoW3
_chemical_formula_sum 'V14 Mo2 W6'
_cell_length_a 8.6658
_cell_length_b 9.1432
_cell_length_c 4.6802
_cell_angle_alpha 90.00
_cell_angle_beta 113.25
_cell_angle_gamma 90.00
_symmetry_space_group_name_H-M 'C 1 2/m 1'
_symmetry_Int_Tables_number 12
loop_
_symmetry_equiv_pos_as_xyz
'x,y,z'
'-x,-y,-z'
'-x,y,-z'
'x,-y,z'
'x+1/2,y+1/2,z'
'-x+1/2,-y+1/2,-z'
'-x+1/2,y+1/2,-z'
'x+1/2,-y+1/2,z'
loop_
_atom_site_label
_atom_site_fract_x
_atom_site_fract_y
_atom_site_fract_z
V1 0.0000 0.0000 0.0000
V2 0.1774 0.2797 0.6700
V3 0.1958 0.5000 0.1646
Mo1 0.0000 0.0000 0.5000
W1 0.0000 0.2710 0.0000
W2 0.0000 0.5000 0.5000
```

Results
Magnetic moment   0.00 Bohr magnetons per cell
DOS at the Fermi energy   27.86 states/eV per cell
ρ   9.79 g/cm³

Pick model A: it beats the second-best structure by 3.2 kJ/mol of atoms.

Model A:
VASP calculation (PBE-GGA) on a geometry-optimized VMo6W3 structure.

CIF file:
```
data_VMo6W3
_chemical_formula_sum 'V2 Mo12 W6'
_cell_length_a 9.4132
_cell_length_b 3.0954
_cell_length_c 12.1069
_cell_angle_alpha 90.00
_cell_angle_beta 111.35
_cell_angle_gamma 90.00
_symmetry_space_group_name_H-M 'P 1 21/m 1'
_symmetry_Int_Tables_number 11
loop_
_symmetry_equiv_pos_as_xyz
'x,y,z'
'-x,-y,-z'
'-x,y+1/2,-z'
'x,-y+1/2,z'
loop_
_atom_site_label
_atom_site_fract_x
_atom_site_fract_y
_atom_site_fract_z
V1 0.0657 0.2500 0.2396
Mo1 0.1074 0.2500 0.9812
Mo2 0.2134 0.7500 0.7769
Mo3 0.2179 0.7500 0.4455
Mo4 0.2536 0.7500 0.1977
Mo5 0.3727 0.2500 0.6418
Mo6 0.4826 0.2500 0.1717
W1 0.0728 0.2500 0.5963
W2 0.3641 0.7500 0.9898
W3 0.4183 0.2500 0.4012
```

Results
Magnetic moment   0.00 Bohr magnetons per cell
DOS at the Fermi energy   16.04 states/eV per cell
ρ   11.91 g/cm³

Model B:
VASP calculation (PBE-GGA) on a geometry-optimized VMo6W3 structure.

CIF file:
```
data_VMo6W3
_chemical_formula_sum 'V2 Mo12 W6'
_cell_length_a 7.7235
_cell_length_b 4.4626
_cell_length_c 9.4822
_cell_angle_alpha 90.00
_cell_angle_beta 106.01
_cell_angle_gamma 90.00
_symmetry_space_group_name_H-M 'P 1 21/m 1'
_symmetry_Int_Tables_number 11
loop_
_symmetry_equiv_pos_as_xyz
'x,y,z'
'-x,-y,-z'
'-x,y+1/2,-z'
'x,-y+1/2,z'
loop_
_atom_site_label
_atom_site_fract_x
_atom_site_fract_y
_atom_site_fract_z
V1 0.0492 0.2500 0.4016
Mo1 0.0490 0.7500 0.8980
Mo2 0.1467 0.2500 0.6967
Mo3 0.1491 0.7500 0.2014
Mo4 0.2463 0.7500 0.4989
Mo5 0.3482 0.2500 0.3004
Mo6 0.4498 0.7500 0.1002
W1 0.2497 0.2500 0.9988
W2 0.3476 0.7500 0.7974
W3 0.4478 0.2500 0.5983
```

Results
Magnetic moment   0.00 Bohr magnetons per cell
DOS at the Fermi energy   7.39 states/eV per cell
ρ   12.45 g/cm³

Pick model B: it beats the second-best structure by 40.4 kJ/mol of atoms.

Model A:
VASP calculation (PBE-GGA) on a geometry-optimized YV2Mo structure.

CIF file:
```
data_YV2Mo
_chemical_formula_sum 'Y4 V8 Mo4'
_cell_length_a 6.5766
_cell_length_b 6.5766
_cell_length_c 6.5766
_cell_angle_alpha 90.00
_cell_angle_beta 90.00
_cell_angle_gamma 90.00
_symmetry_space_group_name_H-M 'F m -3 m'
_symmetry_Int_Tables_number 225
_symmetry_space_group_name_Hall '-F 4 2 3'
loop_
_atom_site_label
_atom_site_fract_x
_atom_site_fract_y
_atom_site_fract_z
Y1 0.0000 0.0000 0.0000
V1 0.2500 0.2500 0.2500
Mo1 0.0000 0.0000 0.5000
```

Results
Magnetic moment   13.04 Bohr magnetons per cell
DOS at the Fermi energy   20.58 states/eV per cell
ρ   6.70 g/cm³

Model B:
VASP calculation (PBE-GGA) on a geometry-optimized YV2Mo structure.

CIF file:
```
data_YV2Mo
_chemical_formula_sum 'Y4 V8 Mo4'
_cell_length_a 4.4991
_cell_length_b 4.4991
_cell_length_c 17.4821
_cell_angle_alpha 90.00
_cell_angle_beta 90.00
_cell_angle_gamma 90.00
_symmetry_space_group_name_H-M 'I -4 2 d'
_symmetry_Int_Tables_number 122
_symmetry_space_group_name_Hall 'I -4 2bw'
loop_
_atom_site_label
_atom_site_fract_x
_atom_site_fract_y
_atom_site_fract_z
Y1 0.0000 0.0000 0.0000
V1 0.0106 0.7500 0.6250
Mo1 0.0000 0.0000 0.5000
```

Results
Magnetic moment   0.00 Bohr magnetons per cell
DOS at the Fermi energy   25.64 states/eV per cell
ρ   5.38 g/cm³

Pick model A: it beats the second-best structure by 51.9 kJ/mol of atoms.

Model A:
VASP calculation (PBE-GGA) on a geometry-optimized YV3Mo structure.

CIF file:
```
data_YV3Mo
_chemical_formula_sum 'Y1 V3 Mo1'
_cell_length_a 4.6419
_cell_length_b 4.6419
_cell_length_c 4.6419
_cell_angle_alpha 90.00
_cell_angle_beta 90.00
_cell_angle_gamma 90.00
_symmetry_space_group_name_H-M 'P m -3 m'
_symmetry_Int_Tables_number 221
_symmetry_space_group_name_Hall '-P 4 2 3'
loop_
_atom_site_label
_atom_site_fract_x
_atom_site_fract_y
_atom_site_fract_z
Y1 0.0000 0.0000 0.0000
V1 0.0000 0.5000 0.5000
Mo1 0.5000 0.5000 0.5000
```

Results
Magnetic moment   0.00 Bohr magnetons per cell
DOS at the Fermi energy   3.67 states/eV per cell
ρ   5.61 g/cm³

Model B:
VASP calculation (PBE-GGA) on a geometry-optimized YV3Mo structure.

CIF file:
```
data_YV3Mo
_chemical_formula_sum 'Y1 V3 Mo1'
_cell_length_a 4.5635
_cell_length_b 4.5635
_cell_length_c 4.5635
_cell_angle_alpha 90.00
_cell_angle_beta 90.00
_cell_angle_gamma 90.00
_symmetry_space_group_name_H-M 'P m -3 m'
_symmetry_Int_Tables_number 221
_symmetry_space_group_name_Hall '-P 4 2 3'
loop_
_atom_site_label
_atom_site_fract_x
_atom_site_fract_y
_atom_site_fract_z
Y1 0.0000 0.0000 0.0000
V1 0.0000 0.0000 0.5000
Mo1 0.5000 0.5000 0.5000
```

Results
Magnetic moment   2.37 Bohr magnetons per cell
DOS at the Fermi energy   8.14 states/eV per cell
ρ   5.90 g/cm³

Pick model A: it beats the second-best structure by 133.6 kJ/mol of atoms.

Model A:
VASP calculation (PBE-GGA) on a geometry-optimized Y2VMo structure.

CIF file:
```
data_Y2VMo
_chemical_formula_sum 'Y8 V4 Mo4'
_cell_length_a 7.8243
_cell_length_b 7.8243
_cell_length_c 6.0571
_cell_angle_alpha 90.00
_cell_angle_beta 90.00
_cell_angle_gamma 90.00
_symmetry_space_group_name_H-M 'I -4 2 d'
_symmetry_Int_Tables_number 122
_symmetry_space_group_name_Hall 'I -4 2bw'
loop_
_atom_site_label
_atom_site_fract_x
_atom_site_fract_y
_atom_site_fract_z
Y1 0.2468 0.2500 0.1250
V1 0.0000 0.0000 0.0000
Mo1 0.0000 0.0000 0.5000
```

Results
Magnetic moment   9.33 Bohr magnetons per cell
DOS at the Fermi energy   20.64 states/eV per cell
ρ   5.82 g/cm³

Model B:
VASP calculation (PBE-GGA) on a geometry-optimized Y2VMo structure.

CIF file:
```
data_Y2VMo
_chemical_formula_sum 'Y8 V4 Mo4'
_cell_length_a 7.1353
_cell_length_b 7.1353
_cell_length_c 7.1353
_cell_angle_alpha 90.00
_cell_angle_beta 90.00
_cell_angle_gamma 90.00
_symmetry_space_group_name_H-M 'F m -3 m'
_symmetry_Int_Tables_number 225
_symmetry_space_group_name_Hall '-F 4 2 3'
loop_
_atom_site_label
_atom_site_fract_x
_atom_site_fract_y
_atom_site_fract_z
Y1 0.2500 0.2500 0.2500
V1 0.0000 0.0000 0.0000
Mo1 0.0000 0.0000 0.5000
```

Results
Magnetic moment   7.01 Bohr magnetons per cell
DOS at the Fermi energy   27.06 states/eV per cell
ρ   5.94 g/cm³

Pick model B: it beats the second-best structure by 43.3 kJ/mol of atoms.